1.
PBE Ba2ReGeMo, optimized geometry; space group = P4/mmm, No. 123; M_tot = 6.23 μB/cell; calculated volume = 37.87 A^3/atom
1.0
-5.553 -1.955 2.135
1.721 -4.498 0.359
1.843 1.174 5.868
Ba Mo Ge Re
2 1 1 1
direct
0.000 0.000 0.500
0.500 0.000 0.000
0.000 0.500 0.000
0.000 0.000 0.000
0.500 0.500 0.500

=====

2.
PBE Mg5Ga2Sn, optimized geometry; space group = I4/mcm, No. 140; M_tot = 0.00 μB/cell; calculated volume = 21.79 A^3/atom
1.0
-2.693 -5.747 3.424
0.989 -3.993 -5.923
7.003 3.250 3.368
Mg Ga Sn
10 4 2
direct
0.691 0.191 0.710
0.519 0.691 0.710
0.000 0.000 0.000
0.981 0.481 0.290
0.309 0.809 0.290
0.191 0.019 0.710
0.019 0.519 0.710
0.500 0.500 0.000
0.481 0.309 0.290
0.809 0.981 0.290
0.629 0.129 0.000
0.371 0.871 0.000
0.129 0.371 0.000
0.871 0.629 0.000
0.750 0.750 0.500
0.250 0.250 0.500

=====

3.
PBE SrAgP2, optimized geometry; space group = P4/mmm, No. 123; M_tot = 0.00 μB/cell; calculated volume = 22.00 A^3/atom
1.0
-1.162 3.540 -0.718
-3.339 -0.765 1.632
2.220 1.823 5.396
P Sr Ag
2 1 1
direct
0.000 0.000 0.571
0.000 0.000 0.929
0.500 0.500 0.250
0.500 0.500 0.750

=====

4.
PBE CdCuMoPd2, optimized geometry; space group = P4/mmm, No. 123; M_tot = 4.32 μB/cell; calculated volume = 20.17 A^3/atom
1.0
-3.127 2.776 -2.024
-2.477 -3.718 -1.273
-2.395 0.224 4.007
Pd Cu Cd Mo
2 1 1 1
direct
0.500 0.000 0.000
0.000 0.500 0.000
0.000 0.000 0.000
0.000 0.000 0.500
0.500 0.500 0.500

=====

5.
PBE Ca2MnRh, optimized geometry; space group = P4/mmm, No. 123; M_tot = 4.01 μB/cell; calculated volume = 22.69 A^3/atom
1.0
3.487 0.000 0.000
0.000 3.489 0.000
0.000 0.000 7.459
Ca Rh Mn
2 1 1
direct
0.000 0.000 0.528
0.000 0.000 0.972
0.500 0.500 0.750
0.500 0.500 0.250

=====

6.
PBE LaMgAg2, optimized geometry; space group = Cmmm, No. 65; M_tot = 0.06 μB/cell; calculated volume = 23.77 A^3/atom
1.0
5.268 0.010 0.004
-0.016 5.268 0.004
-0.003 -0.003 3.426
Ag Mg La
2 1 1
direct
0.500 0.500 0.000
0.000 0.000 0.000
0.000 0.500 0.500
0.500 0.000 0.500

=====

Calculated ρ, 5.52, 3.62, 4.86, 7.98, 4.35, 6.62 Mg/m³ (same order as the records).
Calculated energy of formation from the pure elements, 1.50, -0.13, -0.15, 0.99, 0.09, -0.14 eV/atom (same order as the records).
Calculated VASP energy, -4.85, -2.39, -3.98, -4.25, -5.04, -3.19 eV/atom (same order as the records).